(i)
VASP calculation (PBE) on a relaxed structure of LaFeN2.

Structure (POSCAR):
```
LaFeN2
1.0
-4.605 1.372 0.084
-1.315 -4.312 -1.665
-3.369 -3.127 3.822
La Fe N
2 2 4
Cartesian
0.000 0.000 0.000
-5.467 -1.613 1.558
-2.960 -1.470 -0.791
-3.822 -4.455 0.683
-4.896 -3.937 2.085
-7.558 -4.429 1.672
-2.762 -3.150 -0.065
-3.363 -0.619 0.790
```

Total moment, μB per cell: 0.00
SG: I-42d, No. 122



(ii)
VASP calculation (PBE) on a relaxed structure of LaFeN2.

Structure (POSCAR):
```
LaFeN2
1.0
2.282 0.000 5.454
-1.141 1.976 5.454
-1.141 -1.976 5.454
N Fe La
2 1 1
Cartesian
0.000 0.000 1.677
0.000 0.000 14.686
0.000 0.000 0.000
0.000 0.000 8.181
```

Total moment, μB per cell: 0.00
SG: R-3m, No. 166



(iii)
VASP calculation (PBE) on a relaxed structure of LaFeN2.

Structure (POSCAR):
```
LaFeN2
1.0
-3.204 0.253 4.512
-2.310 -0.151 -5.033
-0.142 -6.378 0.256
Fe La N
3 3 6
Cartesian
-1.368 -1.151 -2.885
-2.378 -3.146 -0.090
-1.982 -5.168 2.838
-1.923 0.036 -0.182
-2.134 -1.961 3.024
-1.599 -4.350 -3.107
-1.484 -2.404 -1.496
-2.978 -0.300 -2.990
-3.582 -1.789 0.381
-3.521 -4.460 -0.782
-3.614 -5.958 2.637
-1.791 -3.916 1.457
```

Total moment, μB per cell: 3.15
SG: P3_121, No. 152



(iv)
VASP calculation (PBE) on a relaxed structure of LaFeN2.

Structure (POSCAR):
```
LaFeN2
1.0
-0.538 -2.511 3.266
-1.066 1.588 3.688
-3.814 -0.647 1.517
Fe N La
1 2 1
Cartesian
0.000 0.000 0.000
-4.063 -1.177 6.353
-1.354 -0.392 2.118
-2.709 -0.785 4.236
```

Total moment, μB per cell: 2.58
SG: Fm-3m, No. 225



Which of them is the least stable? Correct choice: (iv).



(i)
VASP calculation (PBE) on a relaxed structure of La2FeRuN.

Structure (POSCAR):
```
La2FeRuN
1.0
5.212 0.000 0.000
0.000 3.839 0.000
0.000 0.000 5.212
Ru La N Fe
1 2 1 1
Cartesian
0.000 1.920 0.000
2.606 0.000 0.000
0.000 0.000 2.606
0.000 0.000 0.000
2.606 1.920 2.606
```

Total moment, μB per cell: 2.39
SG: P4/mmm, No. 123



(ii)
VASP calculation (PBE) on a relaxed structure of La2FeRuN.

Structure (POSCAR):
```
La2FeRuN
1.0
5.220 0.000 0.000
0.000 5.220 0.000
0.000 0.000 3.568
Ru N Fe La
1 1 1 2
Cartesian
2.610 2.610 1.784
0.000 0.000 0.000
0.000 0.000 1.784
2.610 0.000 0.000
0.000 2.610 0.000
```

Total moment, μB per cell: 1.20
SG: P4/mmm, No. 123



Which of them is the least stable? Correct choice: (i).



(i)
VASP calculation (PBE) on a relaxed structure of LaFeTeN2.

Structure (POSCAR):
```
LaFeTeN2
1.0
-1.052 -3.827 -1.366
3.818 -1.414 1.020
-1.663 -1.180 4.588
La Fe N Te
1 1 2 1
Cartesian
0.552 -3.210 2.121
0.000 0.000 0.000
1.909 -0.707 0.510
-0.526 -1.913 -0.683
-0.831 -0.590 2.294
```

Total moment, μB per cell: 3.82
SG: P4/mmm, No. 123



(ii)
VASP calculation (PBE) on a relaxed structure of LaFeTeN2.

Structure (POSCAR):
```
LaFeTeN2
1.0
4.193 0.000 0.000
0.000 4.193 0.000
0.000 0.000 6.931
N La Fe Te
2 1 1 1
Cartesian
0.000 2.096 0.000
2.096 0.000 0.000
0.000 0.000 0.000
2.096 2.096 3.465
0.000 0.000 3.465
```

Total moment, μB per cell: 4.04
SG: P4/mmm, No. 123



Which of them is the least stable? Correct choice: (ii).



(i)
VASP calculation (PBE) on a relaxed structure of NaLa2Fe2.

Structure (POSCAR):
```
NaLa2Fe2
1.0
8.658 0.000 0.000
0.000 8.658 0.000
0.000 0.000 3.433
La Na Fe
4 2 4
Cartesian
2.843 7.172 0.000
7.172 5.816 0.000
5.816 1.486 0.000
1.486 2.843 0.000
0.000 0.000 0.000
4.329 4.329 0.000
0.832 5.161 1.717
7.827 3.497 1.717
3.497 0.832 1.717
5.161 7.827 1.717
```

Total moment, μB per cell: 6.80
SG: P4/mbm, No. 127



(ii)
VASP calculation (PBE) on a relaxed structure of NaLa2Fe2.

Structure (POSCAR):
```
NaLa2Fe2
1.0
7.943 0.000 0.000
0.000 7.943 0.000
0.000 0.000 4.046
Fe Na La
4 2 4
Cartesian
7.154 4.760 0.000
0.789 3.183 0.000
4.760 0.789 0.000
3.183 7.154 0.000
0.000 0.000 0.000
3.971 3.971 0.000
6.589 2.617 2.023
5.326 6.589 2.023
1.354 5.326 2.023
2.617 1.354 2.023
```

Total moment, μB per cell: 6.56
SG: P4/mbm, No. 127



Which of them is the least stable? Correct choice: (i).



(i)
VASP calculation (PBE) on a relaxed structure of NaLaFe3.

Structure (POSCAR):
```
NaLaFe3
1.0
4.741 0.000 0.000
0.000 4.741 0.000
0.000 0.000 4.741
La Fe Na
1 3 1
Cartesian
2.370 2.370 2.370
0.000 0.000 2.370
2.370 0.000 0.000
0.000 2.370 0.000
0.000 0.000 0.000
```

Total moment, μB per cell: 7.97
SG: Pm-3m, No. 221



(ii)
VASP calculation (PBE) on a relaxed structure of NaLaFe3.

Structure (POSCAR):
```
NaLaFe3
1.0
4.826 0.000 0.000
0.000 4.826 0.000
0.000 0.000 4.826
Fe La Na
3 1 1
Cartesian
0.000 2.413 0.000
2.413 0.000 0.000
0.000 0.000 2.413
0.000 0.000 0.000
2.413 2.413 2.413
```

Total moment, μB per cell: 6.18
SG: Pm-3m, No. 221



Which of them is the least stable? Correct choice: (ii).



(i)
VASP calculation (PBE) on a relaxed structure of NaLa2Fe.

Structure (POSCAR):
```
NaLa2Fe
1.0
7.820 0.000 0.000
0.000 7.820 0.000
3.910 3.910 5.382
Na La Fe
2 4 2
Cartesian
3.910 7.820 2.691
3.910 3.910 0.000
9.775 3.448 4.037
8.282 5.865 1.346
7.358 1.955 1.346
5.865 4.372 4.037
7.820 3.910 2.691
0.000 0.000 0.000
```

Total moment, μB per cell: 0.00
SG: I-42d, No. 122



(ii)
VASP calculation (PBE) on a relaxed structure of NaLa2Fe.

Structure (POSCAR):
```
NaLa2Fe
1.0
-1.577 -0.842 3.516
-2.770 -2.792 0.302
6.042 -8.469 2.895
La Fe Na
2 1 1
Cartesian
-1.669 -6.229 4.398
3.363 -5.874 2.315
0.847 -6.051 3.357
0.000 0.000 0.000
```

Total moment, μB per cell: 0.00
SG: R-3m, No. 166



(iii)
VASP calculation (PBE) on a relaxed structure of NaLa2Fe.

Structure (POSCAR):
```
NaLa2Fe
1.0
0.555 -2.821 4.370
2.514 2.023 4.118
-2.664 1.302 4.310
La Na Fe
2 1 1
Cartesian
0.101 0.126 3.199
0.304 0.378 9.598
0.000 0.000 0.000
0.203 0.252 6.399
```

Total moment, μB per cell: 0.00
SG: Fm-3m, No. 225



Which of them is the least stable? Correct choice: (iii).